! PBE-GGA PmDy3Tl4, relaxed; values from VASP
&SYSTEM
  ibrav = 0, nat = 8, ntyp = 3
/
ATOMIC_SPECIES
Tl 204.38 Tl.upf
Dy 162.50 Dy.upf
Pm 145.00 Pm.upf
ATOMIC_POSITIONS crystal
Tl 0.3718 0.5860 0.7436
Tl 0.6282 0.8423 0.2563
Tl 0.6282 0.4140 0.2564
Tl 0.3718 0.1577 0.7437
Dy 0.0000 0.5000 0.0000
Dy 0.2198 0.2197 0.4396
Dy 0.7802 0.7803 0.5604
Pm 0.5000 0.0000 0.0000
CELL_PARAMETERS angstrom
3.5250 0.0000 0.0000
0.0000 7.1928 -0.8403
-1.7625 -2.5111 9.6854
! density of states at the Fermi level	7.535	states/eV/f.u.
! final energy	-29.78	eV per formula unit
! magnetization	0.09	μB/f.u.

! PBE-GGA La4HgSeBr2, relaxed; values from VASP
&SYSTEM
  ibrav = 0, nat = 8, ntyp = 4
/
ATOMIC_SPECIES
La 138.91 La.upf
Hg 200.59 Hg.upf
Se 78.96 Se.upf
Br 79.90 Br.upf
ATOMIC_POSITIONS crystal
La 0.5000 0.7353 0.2665
La 0.0000 0.2525 0.2594
La 0.0000 0.7475 0.7406
La 0.5000 0.2647 0.7335
Hg 0.5000 0.5000 0.0000
Se 0.0000 0.5000 0.5000
Br 0.5000 0.0000 0.5000
Br 0.0000 0.0000 0.0000
CELL_PARAMETERS angstrom
-0.2784 4.1997 1.2889
-0.0023 -2.2266 7.2549
7.2331 -0.3228 2.6143
! density of states at the Fermi level	6.523	states/eV/f.u.
! final energy	-36.87	eV per formula unit
! ΔE_f (raw)	-1.2540	eV/atom
! magnetization	0.00	μB/f.u.

! PBE-GGA PmNd5Ga2, relaxed; values from VASP
&SYSTEM
  ibrav = 0, nat = 8, ntyp = 3
/
ATOMIC_SPECIES
Nd 144.24 Nd.upf
Ga 69.72 Ga.upf
Pm 145.00 Pm.upf
ATOMIC_POSITIONS crystal
Nd 0.6508 0.1484 0.5501
Nd 0.3492 0.4499 0.8516
Nd 0.3492 0.8516 0.4499
Nd 0.0000 0.5000 0.5000
Nd 0.6508 0.5501 0.1484
Ga 0.2847 0.2153 0.2153
Ga 0.7153 0.7847 0.7847
Pm 0.0000 0.0000 0.0000
CELL_PARAMETERS angstrom
-3.8031 0.4892 -2.1143
1.4229 -1.6961 -7.4859
-3.1515 -7.1235 -0.5135
! density of states at the Fermi level	10.033	states/eV/f.u.
! final energy	-35.95	eV per formula unit
! magnetization	0.00	μB/f.u.

! PBE-GGA In2GaFeHg, relaxed; values from VASP
&SYSTEM
  ibrav = 0, nat = 5, ntyp = 4
/
ATOMIC_SPECIES
In 114.82 In.upf
Ga 69.72 Ga.upf
Hg 200.59 Hg.upf
Fe 55.84 Fe.upf
ATOMIC_POSITIONS crystal
In 0.0000 0.5000 0.0000
In 0.5000 0.0000 0.0000
Ga 0.0000 0.0000 0.5000
Hg 0.5000 0.5000 0.5000
Fe 0.0000 0.0000 0.0000
CELL_PARAMETERS angstrom
5.0564 0.0000 0.0000
0.0000 5.0564 0.0000
0.0000 0.0000 4.6503
! density of states at the Fermi level	4.212	states/eV/f.u.
! final energy	-16.68	eV per formula unit
! magnetization	0.42	μB/f.u.

! PBE-GGA Sm3Tm5As8, relaxed; values from VASP
&SYSTEM
  ibrav = 0, nat = 16, ntyp = 3
/
ATOMIC_SPECIES
Sm 150.36 Sm.upf
As 74.92 As.upf
Tm 168.93 Tm.upf
ATOMIC_POSITIONS crystal
Sm 0.5000 0.0000 0.5000
Sm 0.0000 0.0000 0.5000
Sm 0.0000 0.5000 0.5000
As 0.2500 0.7436 0.7564
As 0.2500 0.2500 0.7564
As 0.7500 0.7500 0.2436
As 0.2564 0.7500 0.2436
As 0.7468 0.7468 0.7596
As 0.7436 0.2500 0.7564
As 0.7500 0.2564 0.2436
As 0.2532 0.2532 0.2404
Tm 0.5000 0.0000 0.0000
Tm 0.0000 0.5000 0.0000
Tm 0.0000 0.0000 0.0000
Tm 0.5000 0.5000 0.0000
Tm 0.5000 0.5000 0.5000
CELL_PARAMETERS angstrom
7.1520 0.0000 4.0967
2.4027 6.7364 4.0967
0.0295 0.0208 8.2399
! density of states at the Fermi level	2.671	states/eV/f.u.
! final energy	-97.81	eV per formula unit
! magnetization	0.00	μB/f.u.

! PBE-GGA LiSmScPd, relaxed; values from VASP
&SYSTEM
  ibrav = 0, nat = 4, ntyp = 4
/
ATOMIC_SPECIES
Li 6.94 Li.upf
Pd 106.42 Pd.upf
Sc 44.96 Sc.upf
Sm 150.36 Sm.upf
ATOMIC_POSITIONS crystal
Li 0.5000 0.5000 0.5000
Pd 0.0000 0.0000 0.0000
Sc 0.2500 0.2500 0.2500
Sm 0.7500 0.7500 0.7500
CELL_PARAMETERS angstrom
-2.0226 3.3399 3.0272
0.7484 -0.3099 4.8738
2.8606 3.3235 2.2762
! density of states at the Fermi level	3.464	states/eV/f.u.
! final energy	-19.60	eV per formula unit
! magnetization	0.00	μB/f.u.

! PBE-GGA Li7Tl4Au, relaxed; values from VASP
&SYSTEM
  ibrav = 0, nat = 12, ntyp = 3
/
ATOMIC_SPECIES
Li 6.94 Li.upf
Tl 204.38 Tl.upf
Au 196.97 Au.upf
ATOMIC_POSITIONS crystal
Li 0.0640 0.6080 0.2640
Li 0.5000 0.0000 0.0000
Li 0.2075 0.7729 0.8121
Li 0.7925 0.2271 0.1879
Li 0.9360 0.3920 0.7360
Li 0.8066 0.8734 0.5134
Li 0.1934 0.1266 0.4866
Tl 0.6861 0.6360 0.9918
Tl 0.5772 0.2836 0.5619
Tl 0.4228 0.7164 0.4381
Tl 0.3139 0.3640 0.0082
Au 0.0000 0.0000 0.0000
CELL_PARAMETERS angstrom
5.0719 0.0000 0.0000
2.5360 7.6831 1.2546
2.5360 1.5498 6.5686
! density of states at the Fermi level	4.612	states/eV/f.u.
! final energy	-28.52	eV per formula unit
! magnetization	0.00	μB/f.u.

! PBE-GGA CoTc2Au, relaxed; values from VASP
&SYSTEM
  ibrav = 0, nat = 4, ntyp = 3
/
ATOMIC_SPECIES
Co 58.93 Co.upf
Au 196.97 Au.upf
Tc 98.00 Tc.upf
ATOMIC_POSITIONS crystal
Co 0.0000 0.0000 0.0000
Au 0.5000 0.5000 0.5000
Tc 0.7500 0.7500 0.7500
Tc 0.2500 0.2500 0.2500
CELL_PARAMETERS angstrom
0.9788 1.3348 4.0433
-2.9740 -0.3165 3.1849
0.5285 -2.9281 3.1992
! density of states at the Fermi level	7.632	states/eV/f.u.
! final energy	-28.79	eV per formula unit
! magnetization	2.45	μB/f.u.

! PBE-GGA SrB, relaxed; values from VASP
&SYSTEM
  ibrav = 0, nat = 12, ntyp = 2
/
ATOMIC_SPECIES
B 10.81 B.upf
Sr 87.62 Sr.upf
ATOMIC_POSITIONS crystal
B 0.0000 0.5000 0.5776
B 0.3685 0.0000 0.1603
B 0.8685 0.5000 0.6603
B 0.6315 0.0000 0.1603
B 0.1315 0.5000 0.6603
B 0.5000 0.0000 0.0776
Sr 0.6915 0.0000 0.6712
Sr 0.3085 0.0000 0.6712
Sr 0.0000 0.0000 0.7613
Sr 0.8085 0.5000 0.1712
Sr 0.1915 0.5000 0.1712
Sr 0.5000 0.5000 0.2613
CELL_PARAMETERS angstrom
11.8025 0.0000 0.0000
0.0000 4.9725 0.0000
0.0000 0.0000 5.4496
! density of states at the Fermi level	1.032	states/eV/f.u.
! final energy	-7.77	eV per formula unit
! magnetization	0.00	μB/f.u.

! PBE-GGA RbUTe3Pd, relaxed; values from VASP
&SYSTEM
  ibrav = 0, nat = 12, ntyp = 4
/
ATOMIC_SPECIES
Te 127.60 Te.upf
U 238.03 U.upf
Pd 106.42 Pd.upf
Rb 85.47 Rb.upf
ATOMIC_POSITIONS crystal
Te 0.6242 0.2485 0.0518
Te 0.6242 0.2485 0.4482
Te 0.3758 0.7515 0.9482
Te 0.9333 0.8666 0.2500
Te 0.0667 0.1334 0.7500
Te 0.3758 0.7515 0.5518
U 0.0000 0.0000 0.0000
U 0.0000 0.0000 0.5000
Pd 0.4692 0.9385 0.7500
Pd 0.5308 0.0615 0.2500
Rb 0.7510 0.5020 0.7500
Rb 0.2490 0.4980 0.2500
CELL_PARAMETERS angstrom
4.3014 0.0000 0.0000
-2.1507 8.3435 0.0000
0.0000 0.0000 11.1614
! density of states at the Fermi level	5.229	states/eV/f.u.
! final energy	-31.52	eV per formula unit
! ΔE_f (raw)	-0.7741	eV/atom
! magnetization	1.19	μB/f.u.

! PBE-GGA Sr2HoGaSe5, relaxed; values from VASP
&SYSTEM
  ibrav = 0, nat = 18, ntyp = 4
/
ATOMIC_SPECIES
Se 78.96 Se.upf
Sr 87.62 Sr.upf
Ho 164.93 Ho.upf
Ga 69.72 Ga.upf
ATOMIC_POSITIONS crystal
Se 0.2936 0.5871 0.6748
Se 0.6848 0.3697 0.8684
Se 0.5012 0.0023 0.2695
Se 0.3544 0.7088 0.0054
Se 0.9536 0.9073 0.5421
Se 0.0464 0.0927 0.0421
Se 0.7064 0.4129 0.1748
Se 0.6456 0.2912 0.5054
Se 0.4988 0.9977 0.7695
Se 0.3152 0.6303 0.3684
Sr 0.8755 0.7510 0.8235
Sr 0.1245 0.2490 0.3235
Sr 0.1188 0.2377 0.6825
Sr 0.8812 0.7623 0.1825
Ho 0.7926 0.5852 0.5258
Ho 0.2074 0.4148 0.0258
Ga 0.5589 0.1178 0.9321
Ga 0.4411 0.8822 0.4321
CELL_PARAMETERS angstrom
-2.2855 2.2161 -2.6011
0.5025 -8.4945 -4.4302
-10.6669 -3.8213 6.1172
! final energy	-42.99	eV per formula unit
! ΔE_f (raw)	-1.6216	eV/atom
! magnetization	0.00	μB/f.u.

! PBE-GGA Pr2Sm3HoEr6, relaxed; values from VASP
&SYSTEM
  ibrav = 0, nat = 12, ntyp = 4
/
ATOMIC_SPECIES
Ho 164.93 Ho.upf
Er 167.26 Er.upf
Pr 140.91 Pr.upf
Sm 150.36 Sm.upf
ATOMIC_POSITIONS crystal
Ho 0.0000 0.0000 0.0000
Er 0.0838 0.4165 0.2507
Er 0.7515 0.7515 0.2511
Er 0.9162 0.5835 0.7493
Er 0.2485 0.2485 0.7489
Er 0.4165 0.0838 0.2507
Er 0.5835 0.9162 0.7493
Pr 0.6665 0.3335 0.0000
Pr 0.3335 0.6665 0.0000
Sm 0.8332 0.1668 0.5000
Sm 0.1668 0.8332 0.5000
Sm 0.5000 0.5000 0.5000
CELL_PARAMETERS angstrom
6.1962 0.0002 0.0079
-3.0965 5.3670 0.0079
-1.0440 -1.8077 11.5774
! density of states at the Fermi level	13.918	states/eV/f.u.
! final energy	-55.47	eV per formula unit
! magnetization	0.00	μB/f.u.

Copy entry 9 word for word.
! PBE-GGA SrB, relaxed; values from VASP
&SYSTEM
  ibrav = 0, nat = 12, ntyp = 2
/
ATOMIC_SPECIES
B 10.81 B.upf
Sr 87.62 Sr.upf
ATOMIC_POSITIONS crystal
B 0.0000 0.5000 0.5776
B 0.3685 0.0000 0.1603
B 0.8685 0.5000 0.6603
B 0.6315 0.0000 0.1603
B 0.1315 0.5000 0.6603
B 0.5000 0.0000 0.0776
Sr 0.6915 0.0000 0.6712
Sr 0.3085 0.0000 0.6712
Sr 0.0000 0.0000 0.7613
Sr 0.8085 0.5000 0.1712
Sr 0.1915 0.5000 0.1712
Sr 0.5000 0.5000 0.2613
CELL_PARAMETERS angstrom
11.8025 0.0000 0.0000
0.0000 4.9725 0.0000
0.0000 0.0000 5.4496
! density of states at the Fermi level	1.032	states/eV/f.u.
! final energy	-7.77	eV per formula unit
! magnetization	0.00	μB/f.u.